(1)
VASP calculation (PBE) on a relaxed structure of Cd2CuSe.

Computed properties:
Raw formation energy ... 0.42 eV/f.u.
Final energy ... -8.995 eV for the cell shown

Cell lengths 4.737, 4.737, 3.803 Å; angles 90.00, 90.00, 107.65 degrees
Sites, in units of the cell vectors:
Cd (0.000, 0.500, 0.000)
Cd (0.500, 0.000, 0.000)
Cu (0.000, 0.000, 0.500)
Se (0.500, 0.500, 0.500)



(2)
VASP calculation (PBE) on a relaxed structure of CdCu2Se.

Computed properties:
Raw formation energy ... 0.27 eV/f.u.
Final energy ... -12.318 eV for the cell shown
E above lowest polymorph ... 79 meV/atom

Cell lengths 3.431, 3.431, 5.797 Å; angles 90.00, 90.00, 90.00 degrees
Sites, in units of the cell vectors:
Cd (0.000, 0.000, 0.000)
Cu (0.000, 0.000, 0.477)
Cu (0.500, 0.500, 0.244)
Se (0.500, 0.500, 0.655)



(3)
VASP calculation (PBE) on a relaxed structure of CdCuSe2.

Computed properties:
Raw formation energy ... -1.07 eV/f.u.
Final energy ... -13.047 eV for the cell shown

Cell lengths 4.162, 4.162, 7.223 Å; angles 113.77, 113.77, 56.81 degrees
Sites, in units of the cell vectors:
Cd (0.000, 0.000, 0.000)
Cu (0.075, 0.075, 0.435)
Se (0.233, 0.233, 0.807)
Se (0.708, 0.708, 0.331)



(4)
VASP calculation (PBE) on a relaxed structure of CdCu2Se.

Computed properties:
Raw formation energy ... 0.75 eV/f.u.
Final energy ... -11.840 eV for the cell shown
E above lowest polymorph ... 198 meV/atom

Cell lengths 9.598, 9.598, 9.598 Å; angles 17.70, 17.70, 17.70 degrees
Sites, in units of the cell vectors:
Cd (0.000, 0.000, 0.000)
Cu (0.253, 0.253, 0.253)
Cu (0.520, 0.520, 0.520)
Se (0.786, 0.786, 0.786)



(5)
VASP calculation (PBE) on a relaxed structure of Cd2CuSe.

Computed properties:
Raw formation energy ... 0.49 eV/f.u.
Final energy ... -8.921 eV for the cell shown

Cell lengths 3.109, 3.109, 8.537 Å; angles 90.00, 90.00, 90.00 degrees
Sites, in units of the cell vectors:
Cd (0.000, 0.000, 0.000)
Cd (0.500, 0.500, 0.291)
Cu (0.000, 0.000, 0.513)
Se (0.500, 0.500, 0.678)



(6)
VASP calculation (PBE) on a relaxed structure of CdCuSe2.

Computed properties:
Raw formation energy ... -1.23 eV/f.u.
Final energy ... -13.205 eV for the cell shown

Cell lengths 7.245, 7.245, 7.245 Å; angles 32.89, 32.89, 32.89 degrees
Sites, in units of the cell vectors:
Cd (0.000, 0.000, 0.000)
Cu (0.493, 0.493, 0.493)
Se (0.129, 0.129, 0.129)
Se (0.610, 0.610, 0.610)



(7)
VASP calculation (PBE) on a relaxed structure of CdCu2Se.

Computed properties:
Raw formation energy ... 0.86 eV/f.u.
Final energy ... -11.732 eV for the cell shown
E above lowest polymorph ... 225 meV/atom

Cell lengths 4.930, 4.930, 2.834 Å; angles 90.00, 90.00, 104.30 degrees
Sites, in units of the cell vectors:
Cd (0.000, 0.000, 0.000)
Cu (0.000, 0.500, 0.500)
Cu (0.500, 0.000, 0.500)
Se (0.500, 0.500, 0.000)



(8)
VASP calculation (PBE) on a relaxed structure of CdCuSe2.

Computed properties:
Raw formation energy ... -1.26 eV/f.u.
Final energy ... -13.238 eV for the cell shown

Cell lengths 4.089, 4.087, 5.986 Å; angles 90.00, 90.02, 90.00 degrees
Sites, in units of the cell vectors:
Cd (0.000, 0.000, 0.000)
Cu (0.498, 0.500, 0.500)
Se (0.500, 0.000, 0.285)
Se (0.999, 0.500, 0.715)



(9)
VASP calculation (PBE) on a relaxed structure of CdCu2Se.

Computed properties:
Raw formation energy ... 0.71 eV/f.u.
Final energy ... -11.883 eV for the cell shown
E above lowest polymorph ... 188 meV/atom

Cell lengths 4.912, 4.912, 4.912 Å; angles 130.39, 130.25, 72.90 degrees
Sites, in units of the cell vectors:
Cd (0.000, 0.000, 0.000)
Cu (0.250, 0.750, 0.500)
Cu (0.750, 0.250, 0.500)
Se (0.500, 0.500, 0.000)



(10)
VASP calculation (PBE) on a relaxed structure of CdCuSe2.

Computed properties:
Raw formation energy ... 0.11 eV/f.u.
Final energy ... -11.866 eV for the cell shown

Cell lengths 4.834, 4.834, 4.228 Å; angles 107.09, 107.09, 103.33 degrees
Sites, in units of the cell vectors:
Cd (0.000, 0.000, 0.000)
Cu (0.500, 0.500, 0.000)
Se (0.000, 0.500, 0.500)
Se (0.500, 0.000, 0.500)



(11)
VASP calculation (PBE) on a relaxed structure of Cd2CuSe.

Computed properties:
Raw formation energy ... -0.05 eV/f.u.
Final energy ... -9.466 eV for the cell shown

Cell lengths 6.940, 6.940, 3.729 Å; angles 105.34, 105.34, 28.88 degrees
Sites, in units of the cell vectors:
Cd (0.187, 0.187, 0.187)
Cd (0.813, 0.813, 0.813)
Cu (0.500, 0.500, 0.000)
Se (0.000, 0.000, 0.500)



(12)
VASP calculation (PBE) on a relaxed structure of Cd2CuSe.

Computed properties:
Raw formation energy ... -0.06 eV/f.u.
Final energy ... -9.467 eV for the cell shown

Cell lengths 4.872, 4.872, 6.107 Å; angles 116.51, 116.51, 45.85 degrees
Sites, in units of the cell vectors:
Cd (0.000, 0.000, 0.000)
Cd (0.207, 0.207, 0.750)
Cu (0.760, 0.760, 0.131)
Se (0.342, 0.342, 0.426)



(13)
VASP calculation (PBE) on a relaxed structure of Cd2Cu2Se.

Computed properties:
Raw formation energy ... 0.30 eV/f.u.
Final energy ... -26.405 eV for the cell shown
E above lowest polymorph ... 0 meV/atom

Cell lengths 6.742, 6.742, 4.033 Å; angles 90.00, 90.00, 90.00 degrees
Sites, in units of the cell vectors:
Cd (0.159, 0.341, 0.000)
Cd (0.341, 0.841, 0.000)
Cd (0.659, 0.159, 0.000)
Cd (0.841, 0.659, 0.000)
Cu (0.133, 0.633, 0.500)
Cu (0.367, 0.133, 0.500)
Cu (0.633, 0.867, 0.500)
Cu (0.867, 0.367, 0.500)
Se (0.000, 0.000, 0.500)
Se (0.500, 0.500, 0.500)



(14)
VASP calculation (PBE) on a relaxed structure of CdCuSe2.

Computed properties:
Raw formation energy ... 0.66 eV/f.u.
Final energy ... -11.321 eV for the cell shown

Cell lengths 4.708, 4.708, 3.729 Å; angles 90.00, 90.00, 104.98 degrees
Sites, in units of the cell vectors:
Cd (0.000, 0.000, 0.000)
Cu (0.500, 0.500, 0.000)
Se (0.000, 0.500, 0.500)
Se (0.500, 0.000, 0.500)



(15)
VASP calculation (PBE) on a relaxed structure of Cd2CuSe.

Computed properties:
Raw formation energy ... 0.49 eV/f.u.
Final energy ... -8.924 eV for the cell shown

Cell lengths 3.766, 4.075, 5.495 Å; angles 90.00, 90.00, 90.00 degrees
Sites, in units of the cell vectors:
Cd (0.000, 0.000, 0.000)
Cd (0.000, 0.500, 0.500)
Cu (0.500, 0.000, 0.500)
Se (0.500, 0.500, 0.000)



(16)
VASP calculation (PBE) on a relaxed structure of CdCu2Se.

Computed properties:
Raw formation energy ... 1.04 eV/f.u.
Final energy ... -11.551 eV for the cell shown
E above lowest polymorph ... 270 meV/atom

Cell lengths 4.608, 4.608, 4.608 Å; angles 60.00, 60.00, 60.00 degrees
Sites, in units of the cell vectors:
Cd (0.000, 0.000, 0.000)
Cu (0.250, 0.250, 0.250)
Cu (0.500, 0.500, 0.500)
Se (0.750, 0.750, 0.750)



(17)
VASP calculation (PBE) on a relaxed structure of CdCuSe2.

Computed properties:
Raw formation energy ... -0.99 eV/f.u.
Final energy ... -12.969 eV for the cell shown

Cell lengths 4.168, 4.168, 6.975 Å; angles 111.15, 111.15, 52.14 degrees
Sites, in units of the cell vectors:
Cd (0.000, 0.000, 0.000)
Cu (0.500, 0.500, 0.500)
Se (0.176, 0.176, 0.733)
Se (0.824, 0.824, 0.267)



(18)
VASP calculation (PBE) on a relaxed structure of CdCuSe2.

Computed properties:
Raw formation energy ... 0.33 eV/f.u.
Final energy ... -11.645 eV for the cell shown

Cell lengths 8.436, 8.436, 8.436 Å; angles 154.82, 154.82, 35.91 degrees
Sites, in units of the cell vectors:
Cd (0.000, 0.000, 0.000)
Cu (0.250, 0.750, 0.500)
Se (0.500, 0.500, 0.000)
Se (0.750, 0.250, 0.500)



(19)
VASP calculation (PBE) on a relaxed structure of CdCu2Se.

Computed properties:
Raw formation energy ... 0.15 eV/f.u.
Final energy ... -12.444 eV for the cell shown
E above lowest polymorph ... 47 meV/atom

Cell lengths 4.142, 4.142, 6.036 Å; angles 96.41, 96.41, 51.97 degrees
Sites, in units of the cell vectors:
Cd (0.000, 0.000, 0.000)
Cu (0.325, 0.325, 0.243)
Cu (0.643, 0.643, 0.397)
Se (0.961, 0.961, 0.545)



(20)
VASP calculation (PBE) on a relaxed structure of Cd2CuSe.

Computed properties:
Raw formation energy ... 0.61 eV/f.u.
Final energy ... -8.796 eV for the cell shown

Cell lengths 5.493, 5.493, 5.493 Å; angles 136.26, 135.33, 64.30 degrees
Sites, in units of the cell vectors:
Cd (0.242, 0.242, 0.000)
Cd (0.758, 0.758, 0.000)
Cu (0.000, 0.500, 0.500)
Se (0.500, 0.000, 0.500)



(21)
VASP calculation (PBE) on a relaxed structure of Cd2CuSe.

Computed properties:
Raw formation energy ... 0.00 eV/f.u.
Final energy ... -9.406 eV for the cell shown

Cell lengths 6.428, 6.428, 6.428 Å; angles 147.69, 143.63, 49.43 degrees
Sites, in units of the cell vectors:
Cd (0.000, 0.000, 0.000)
Cd (0.687, 0.187, 0.500)
Cu (0.227, 0.727, 0.500)
Se (0.384, 0.384, 0.000)



(22)
VASP calculation (PBE) on a relaxed structure of CdCu2Se.

Computed properties:
Raw formation energy ... 0.58 eV/f.u.
Final energy ... -12.011 eV for the cell shown
E above lowest polymorph ... 155 meV/atom

Cell lengths 3.844, 4.019, 4.318 Å; angles 90.00, 90.00, 90.00 degrees
Sites, in units of the cell vectors:
Cd (0.000, 0.000, 0.000)
Cu (0.500, 0.000, 0.500)
Cu (0.500, 0.500, 0.000)
Se (0.000, 0.500, 0.500)



(23)
VASP calculation (PBE) on a relaxed structure of CdCuSe.

Computed properties:
Raw formation energy ... -0.14 eV/f.u.
Final energy ... -8.631 eV for the cell shown
E above lowest polymorph ... 98 meV/atom

Cell lengths 4.033, 4.033, 4.339 Å; angles 90.00, 90.00, 120.00 degrees
Sites, in units of the cell vectors:
Cd (0.000, 0.000, 0.000)
Cu (0.333, 0.667, 0.370)
Se (0.667, 0.333, 0.553)



(24)
VASP calculation (PBE) on a relaxed structure of CdCuSe.

Computed properties:
Raw formation energy ... -0.43 eV/f.u.
Final energy ... -17.848 eV for the cell shown
E above lowest polymorph ... 0 meV/atom

Cell lengths 7.030, 7.030, 7.030 Å; angles 146.67, 138.06, 54.59 degrees
Sites, in units of the cell vectors:
Cd (0.123, 0.123, 0.000)
Cd (0.877, 0.877, 0.000)
Cu (0.240, 0.500, 0.740)
Cu (0.760, 0.500, 0.260)
Se (0.341, 0.341, 0.000)
Se (0.659, 0.659, 0.000)



(25)
VASP calculation (PBE) on a relaxed structure of Cd3CuSe4.

Computed properties:
Raw formation energy ... -3.59 eV/f.u.
Final energy ... -24.371 eV for the cell shown

Cell lengths 6.028, 6.028, 6.028 Å; angles 90.00, 90.00, 90.00 degrees
Sites, in units of the cell vectors:
Cd (0.000, 0.000, 0.500)
Cd (0.000, 0.500, 0.000)
Cd (0.500, 0.000, 0.000)
Cu (0.500, 0.500, 0.500)
Se (0.267, 0.267, 0.733)
Se (0.267, 0.733, 0.267)
Se (0.733, 0.267, 0.267)
Se (0.733, 0.733, 0.733)



(26)
VASP calculation (PBE) on a relaxed structure of CdCuSe2.

Computed properties:
Raw formation energy ... 1.50 eV/f.u.
Final energy ... -10.478 eV for the cell shown

Cell lengths 4.816, 4.816, 4.816 Å; angles 60.00, 60.00, 60.00 degrees
Sites, in units of the cell vectors:
Cd (0.000, 0.000, 0.000)
Cu (0.250, 0.250, 0.250)
Se (0.500, 0.500, 0.500)
Se (0.750, 0.750, 0.750)



(27)
VASP calculation (PBE) on a relaxed structure of Cd2CuSe.

Computed properties:
Raw formation energy ... -0.27 eV/f.u.
Final energy ... -9.684 eV for the cell shown

Cell lengths 3.956, 3.656, 6.053 Å; angles 90.00, 108.81, 90.00 degrees
Sites, in units of the cell vectors:
Cd (0.000, 0.000, 0.000)
Cd (0.334, 0.500, 0.667)
Cu (0.768, 0.000, 0.537)
Se (0.618, 0.500, 0.232)



(28)
VASP calculation (PBE) on a relaxed structure of CdCuSe3.

Computed properties:
Raw formation energy ... 1.59 eV/f.u.
Final energy ... -13.875 eV for the cell shown
E above lowest polymorph ... 0 meV/atom

Cell lengths 4.845, 4.845, 4.845 Å; angles 90.00, 90.00, 90.00 degrees
Sites, in units of the cell vectors:
Cd (0.000, 0.000, 0.000)
Cu (0.500, 0.500, 0.500)
Se (0.000, 0.500, 0.500)
Se (0.500, 0.000, 0.500)
Se (0.500, 0.500, 0.000)



(29)
VASP calculation (PBE) on a relaxed structure of CdCu2Se2.

Computed properties:
Raw formation energy ... -1.03 eV/f.u.
Final energy ... -17.106 eV for the cell shown
E above lowest polymorph ... 0 meV/atom

Cell lengths 4.026, 4.026, 6.957 Å; angles 90.00, 90.00, 120.00 degrees
Sites, in units of the cell vectors:
Cd (0.000, 0.000, 0.000)
Cu (0.333, 0.667, 0.405)
Cu (0.667, 0.333, 0.595)
Se (0.333, 0.667, 0.755)
Se (0.667, 0.333, 0.245)



(30)
VASP calculation (PBE) on a relaxed structure of Cd4CuSe.

Computed properties:
Raw formation energy ... 2.00 eV/f.u.
Final energy ... -9.245 eV for the cell shown

Cell lengths 5.759, 5.759, 5.759 Å; angles 60.00, 60.00, 60.00 degrees
Sites, in units of the cell vectors:
Cd (0.125, 0.125, 0.125)
Cd (0.125, 0.125, 0.626)
Cd (0.125, 0.626, 0.125)
Cd (0.626, 0.125, 0.125)
Cu (0.750, 0.750, 0.750)
Se (0.500, 0.500, 0.500)